[1]
Here is crystalline PuBe17Os at its relaxed geometry from the Alexandria database. Energies are from PBE.

## Properties
Spin magnetization = 5.68 μB/f.u.
ΔH_f (0 K) = -0.02 eV per atom

Cell: 5.648 5.648 5.648 Å, 82.86 82.86 82.86°
Atoms (fractional coordinates):
1 Be 0.997 0.997 0.504
2 Be 0.648 0.648 0.167
3 Be 0.100 0.100 0.100
4 Be 0.504 0.997 0.997
5 Be 0.009 0.704 0.289
6 Be 0.289 0.704 0.009
7 Be 0.289 0.009 0.704
8 Be 0.704 0.009 0.289
9 Be 0.997 0.504 0.997
10 Be 0.167 0.648 0.648
11 Be 0.341 0.866 0.341
12 Be 0.648 0.167 0.648
13 Be 0.908 0.908 0.908
14 Be 0.341 0.341 0.866
15 Be 0.866 0.341 0.341
16 Be 0.704 0.289 0.009
17 Be 0.009 0.289 0.704
18 Pu 0.660 0.660 0.660
19 Os 0.320 0.320 0.320


[2]
Here is crystalline NiH6Br2N2 at its relaxed geometry from the Alexandria database. Energies are from PBE.

## Properties
Spin magnetization = 2.01 μB/f.u.
VASP energy = -4.61 eV/atom

Cell: 5.973 5.973 3.895 Å, 86.85 86.85 89.75°
Atoms (fractional coordinates):
1 N 0.747 0.771 0.034
2 N 0.229 0.253 0.966
3 H 0.798 0.626 0.161
4 H 0.374 0.202 0.839
5 H 0.273 0.297 0.204
6 H 0.703 0.727 0.796
7 H 0.179 0.398 0.838
8 H 0.602 0.821 0.162
9 Ni 0.987 0.013 0.000
10 Br 0.201 0.799 0.500
11 Br 0.775 0.225 0.500


[3]
Here is crystalline Y2ScS3 at its relaxed geometry from the Alexandria database. Energies are from PBE.

## Properties
Spin magnetization = 0.00 μB/f.u.
VASP energy = -7.22 eV/atom

Cell: 3.857 3.857 9.362 Å, 90.00 90.00 120.00°
Atoms (fractional coordinates):
1 Y 0.667 0.333 0.327
2 Y 0.333 0.667 0.673
3 S 0.333 0.667 0.152
4 S 0.000 0.000 0.500
5 S 0.667 0.333 0.848
6 Sc 0.000 0.000 0.000


[4]
Here is crystalline CsHgBi4 at its relaxed geometry from the Alexandria database. Energies are from PBE.

## Properties
Spin magnetization = 0.00 μB/f.u.
ΔH_f (0 K) = -0.07 eV per atom

Cell: 6.912 6.912 6.912 Å, 60.00 60.00 60.00°
Atoms (fractional coordinates):
1 Bi 0.615 0.615 0.615
2 Bi 0.155 0.615 0.615
3 Bi 0.615 0.615 0.155
4 Bi 0.615 0.155 0.615
5 Hg 0.250 0.250 0.250
6 Cs 0.000 0.000 0.000


[5]
Here is crystalline Ho4ZnGe3 at its relaxed geometry from the Alexandria database. Energies are from PBE.

## Properties
Spin magnetization = 0.00 μB/f.u.
ΔH_f (0 K) = -0.74 eV per atom

Cell: 4.219 4.018 10.779 Å, 90.00 90.00 90.00°
Atoms (fractional coordinates):
1 Zn 0.500 0.500 0.075
2 Ge 0.000 0.500 0.587
3 Ge 0.000 0.000 0.417
4 Ge 0.500 0.000 0.920
5 Ho 0.000 0.500 0.860
6 Ho 0.000 0.000 0.141
7 Ho 0.500 0.500 0.363
8 Ho 0.500 0.000 0.639


[6]
Here is crystalline MnGe2Ir at its relaxed geometry from the Alexandria database. Energies are from PBE.

## Properties
Spin magnetization = 2.41 μB/f.u.
ΔH_f (0 K) = -0.12 eV per atom

Cell: 8.591 3.203 8.817 Å, 90.00 96.02 90.00°
Atoms (fractional coordinates):
1 Ge 0.373 0.000 0.684
2 Ge 0.937 0.500 0.140
3 Ge 0.627 0.500 0.816
4 Ge 0.063 0.500 0.860
5 Ge 0.373 0.500 0.184
6 Ge 0.063 0.000 0.360
7 Ge 0.627 0.000 0.316
8 Ge 0.937 0.000 0.640
9 Ir 0.348 0.500 0.900
10 Ir 0.652 0.500 0.100
11 Ir 0.652 0.000 0.600
12 Ir 0.348 0.000 0.400
13 Mn 0.853 0.000 0.916
14 Mn 0.147 0.000 0.084
15 Mn 0.853 0.500 0.416
16 Mn 0.147 0.500 0.584


> Which value of spin magnetization does entry 3 give?

0.00 μB/f.u.


> Which value of spin magnetization does entry 5 give?

0.00 μB/f.u.


What did the third record say?
Here is crystalline Y2ScS3 at its relaxed geometry from the Alexandria database. Energies are from PBE.

## Properties
Spin magnetization = 0.00 μB/f.u.
VASP energy = -7.22 eV/atom

Cell: 3.857 3.857 9.362 Å, 90.00 90.00 120.00°
Atoms (fractional coordinates):
1 Y 0.667 0.333 0.327
2 Y 0.333 0.667 0.673
3 S 0.333 0.667 0.152
4 S 0.000 0.000 0.500
5 S 0.667 0.333 0.848
6 Sc 0.000 0.000 0.000